This record from Alexandria via LeMat-Bulk describes a geometry-optimized LiNi2H8 structure. The functional is GGA-PBE.

Cell lengths 3.5494, 4.4764, 4.4764 Å; angles 110.03, 90.28, 90.28 degrees
Sites, in units of the cell vectors:
Li: 0.5000 0.0000 0.0000
Ni: 0.0000 0.3179 0.6821
Ni: 0.0000 0.6821 0.3179
H: 0.9964 0.9603 0.6777
H: 0.9964 0.6777 0.9603
H: 0.2558 0.5058 0.5058
H: 0.5000 0.6952 0.3048
H: 0.5000 0.3048 0.6952
H: 0.7442 0.4942 0.4942
H: 0.0036 0.3223 0.0397
H: 0.0036 0.0397 0.3223

- D(E_F): 0.144 states/eV/atom
- Symmetry: No. 12
- Uncorrected energy: -39.59 eV per cell